# NbTl2I2Cl4

Crystalline NbTl2I2Cl4 at its relaxed geometry (PBE, the Alexandria database).

Theoretical density   4.9 g/cm3
Calculated total energy   -67.81 eV per cell
Density of states at the Fermi level   0.575 states/eV/atom

Cell: 13.482 7.255 7.361 Å, 90.00 121.54 90.00°
Space group C2/m (No. 12)
Asymmetric unit:
1 Nb 0.000 0.000 0.000 x2
2 Tl 0.245 0.500 0.187 x4
3 I 0.243 0.000 0.309 x4
4 Cl 0.032 0.236 0.803 x8

***

# YZnAs2Br

Crystalline YZnAs2Br at its relaxed geometry (PBE, the Alexandria database).

Theoretical density   5.0 g/cm3
Calculated total energy   -19.01 eV per cell
Density of states at the Fermi level   0.159 states/eV/atom
Energy above the most stable polymorph in this dataset   0.1125 eV per atom

Cell: 4.699 4.699 5.820 Å, 90.00 90.00 90.00°
Space group P4/mmm (No. 123)
Asymmetric unit:
1 Y 0.000 0.000 0.000 x1
2 Zn 0.000 0.000 0.500 x1
3 As 0.000 0.500 0.500 x2
4 Br 0.500 0.500 0.000 x1

***

# Np4AsSe2S

Crystalline Np4AsSe2S at its relaxed geometry (PBE, the Alexandria database).

Theoretical density   10.7 g/cm3
Calculated total energy   -75.61 eV per cell
Density of states at the Fermi level   4.441 states/eV/atom

Cell: 7.021 4.049 7.051 Å, 90.00 109.74 90.00°
Space group P2/m (No. 10)
Asymmetric unit:
1 Np 0.240 0.000 0.237 x2
2 Np 0.246 0.500 0.756 x2
3 As 0.500 0.000 0.000 x1
4 Se 0.000 0.000 0.500 x1
5 Se 0.500 0.500 0.500 x1
6 S 0.000 0.500 0.000 x1

***

# Li2Nd2SmBi2

Crystalline Li2Nd2SmBi2 at its relaxed geometry (PBE, the Alexandria database).

Theoretical density   7.5 g/cm3
Calculated total energy   -86.97 eV per cell
DFT formation energy   -449.2 meV per atom
Density of states at the Fermi level   0.735 states/eV/atom

Cell: 4.9212 4.9212 27.6139 Å, 90.00 90.00 120.00°
Space group R-3m (No. 166, hexagonal axes)
Asymmetric unit:
1 Li 0.0000 0.0000 0.0935 x6
2 Nd 0.0000 0.0000 0.3699 x6
3 Sm 0.0000 0.0000 0.5000 x3
4 Bi 0.0000 0.0000 0.2333 x6

***

# NaSi2SbCl

Crystalline NaSi2SbCl at its relaxed geometry (PBE, the Alexandria database).

Theoretical density   2.2 g/cm3
Calculated total energy   -15.47 eV per cell
Density of states at the Fermi level   0.808 states/eV/atom

Cell: 5.211 5.211 6.426 Å, 90.00 90.00 90.00°
Space group P4/mmm (No. 123)
Asymmetric unit:
1 Na 0.000 0.000 0.000 x1
2 Si 0.000 0.500 0.500 x2
3 Sb 0.000 0.000 0.500 x1
4 Cl 0.500 0.500 0.000 x1

***

# AgSe5

Crystalline AgSe5 at its relaxed geometry (PBE, the Alexandria database).

Theoretical density   6.2 g/cm3
Calculated total energy   -18.41 eV per cell
Density of states at the Fermi level   0.646 states/eV/atom
Energy above the most stable polymorph in this dataset   0.2435 eV per atom

Cell: 6.5066 6.5066 3.6722 Å, 90.00 90.00 120.00°
Space group P-62m (No. 189)
Asymmetric unit:
1 Ag 0.0000 0.0000 0.0000 x1
2 Se 0.0000 0.6553 0.5000 x3
3 Se 0.3333 0.6667 0.0000 x2

***

# Cd3Si

Crystalline Cd3Si at its relaxed geometry (PBE, the Alexandria database).

Theoretical density   7.2 g/cm3
Calculated total energy   -7.17 eV per cell
Density of states at the Fermi level   0.292 states/eV/atom
Energy above the most stable polymorph in this dataset   0.0419 eV per atom

Cell: 2.988 4.557 6.187 Å, 90.00 90.00 90.00°
Space group Pmmm (No. 47)
Asymmetric unit:
1 Cd 0.000 0.000 0.000 x1
2 Cd 0.500 0.500 0.257 x2
3 Si 0.000 0.000 0.500 x1

***

# La2Ho7Tl2

Crystalline La2Ho7Tl2 at its relaxed geometry (PBE, the Alexandria database).

Theoretical density   8.9 g/cm3
Calculated total energy   -94.82 eV per cell
DFT formation energy   -70.6 meV per atom
Density of states at the Fermi level   1.141 states/eV/atom

Cell: 8.559 9.717 8.629 Å, 90.00 107.58 90.00°
Space group C2/m (No. 12)
Asymmetric unit:
1 La 0.000 0.175 0.000 x4
2 Ho 0.000 0.500 0.500 x2
3 Ho 0.136 0.500 0.908 x4
4 Ho 0.205 0.180 0.676 x8
5 Tl 0.128 0.000 0.347 x4

***

# ZnTcAs

Crystalline ZnTcAs at its relaxed geometry (PBE, the Alexandria database).

Theoretical density   7.4 g/cm3
Calculated total energy   -63.86 eV per cell
DFT formation energy   108.4 meV per atom
Density of states at the Fermi level   0.637 states/eV/atom
Energy above the most stable polymorph in this dataset   0.2351 eV per atom

Cell: 8.416 2.845 9.801 Å, 90.00 113.80 90.00°
Space group C2/m (No. 12)
Asymmetric unit:
1 Zn 0.007 0.000 0.209 x4
2 Tc 0.161 0.500 0.059 x4
3 As 0.196 0.000 0.653 x4

***

# Er2CrC2

Crystalline Er2CrC2 at its relaxed geometry (PBE, the Alexandria database).

Theoretical density   8.7 g/cm3
Calculated total energy   -154.73 eV per cell
DFT formation energy   -297.3 meV per atom
Density of states at the Fermi level   0.558 states/eV/atom

Cell: 10.843 5.010 6.570 Å, 90.00 118.83 90.00°
Space group C2/m (No. 12)
Asymmetric unit:
1 Er 0.035 0.000 0.277 x4
2 Er 0.182 0.500 0.119 x4
3 Cr 0.136 0.500 0.629 x4
4 C 0.007 0.500 0.287 x4
5 C 0.187 0.000 0.114 x4

***

# Zr2BePd

Crystalline Zr2BePd at its relaxed geometry (PBE, the Alexandria database).

Theoretical density   6.5 g/cm3
Calculated total energy   -98.39 eV per cell
DFT formation energy   354.2 meV per atom
Density of states at the Fermi level   0.878 states/eV/atom

Cell: 4.041 4.041 18.755 Å, 90.00 90.00 90.00°
Space group I-42d (No. 122)
Asymmetric unit:
1 Zr 0.242 0.250 0.125 x8
2 Be 0.000 0.000 0.000 x4
3 Pd 0.000 0.000 0.500 x4

***

# HfNiPt2Br

Crystalline HfNiPt2Br at its relaxed geometry (PBE, the Alexandria database).

Theoretical density   12.1 g/cm3
Calculated total energy   -27.15 eV per cell
Density of states at the Fermi level   0.720 states/eV/atom

Cell: 4.738 4.738 4.327 Å, 90.00 90.00 90.00°
Space group P4/mmm (No. 123)
Asymmetric unit:
1 Hf 0.000 0.000 0.000 x1
2 Ni 0.500 0.500 0.500 x1
3 Pt 0.000 0.500 0.500 x2
4 Br 0.500 0.500 0.000 x1

***

What did the first record say?
# NbTl2I2Cl4

Crystalline NbTl2I2Cl4 at its relaxed geometry (PBE, the Alexandria database).

Theoretical density   4.9 g/cm3
Calculated total energy   -67.81 eV per cell
Density of states at the Fermi level   0.575 states/eV/atom

Cell: 13.482 7.255 7.361 Å, 90.00 121.54 90.00°
Space group C2/m (No. 12)
Asymmetric unit:
1 Nb 0.000 0.000 0.000 x2
2 Tl 0.245 0.500 0.187 x4
3 I 0.243 0.000 0.309 x4
4 Cl 0.032 0.236 0.803 x8

***

> Which of these has the highest calculated total energy?

Cd3Si

***

> Which of these has the lowest theoretical density?

NaSi2SbCl